## Y3WS (PBE)

Data for a geometry-optimized Y3WS structure.

Summary:
Formation energy without anion corrections, kJ/mol of formula units: 237
E above lowest polymorph, meV per atom: 482
Crystal system: cubic

abc: 5.3846 5.3846 5.3846
angles: 90.00 90.00 90.00
Element x y z (fractional)
Y 0.0000 0.0000 0.5000
Y 0.5000 0.0000 0.0000
Y 0.0000 0.5000 0.0000
S 0.5000 0.5000 0.5000
W 0.0000 0.0000 0.0000